[1]
Entry from the Alexandria database: Cd2GaRu after structural relaxation (PBE-GGA).

Lattice parameters (Å, degrees): 2.8280 2.8280 11.4658 82.92 82.92 60.00
Last column: magnetic moment on the atom in μB.
Fractional positions:
Ru 0.0000 0.0000 0.0000  0.98
Ga 0.5000 0.5000 0.5000  0.00
Cd 0.0820 0.0820 0.7539  0.00
Cd 0.9180 0.9180 0.2461  0.00

Computed properties:
Size of the total moment, μB per atom: 0.259
Electronic total energy, Ry per atom: -0.2257

[2]
Entry from the Alexandria database: ZrSiPt after structural relaxation (PBE-GGA).

Lattice parameters (Å, degrees): 4.2199 4.2199 3.3397 90.00 90.00 120.00
Fractional positions:
Pt 0.0000 0.0000 0.1669
Si 0.6667 0.3333 0.1664
Zr 0.3333 0.6667 0.6667

Computed properties:
Energy relative to the elements, uncorrected, kJ/mol of formula units: -304
Size of the total moment, μB per atom: 0.000

[3]
Entry from the Alexandria database: Tm4Ga16Pd3 after structural relaxation (PBE-GGA).

Lattice parameters (Å, degrees): 6.2026 6.2026 10.9875 90.00 90.00 90.00
Fractional positions:
Tm 0.5000 0.0000 0.8104
Tm 0.0000 0.5000 0.1896
Tm 0.0000 0.5000 0.8104
Tm 0.5000 0.0000 0.1896
Ga 0.0000 0.0000 0.7684
Ga 0.2891 0.2891 0.0000
Ga 0.5000 0.5000 0.7991
Ga 0.7109 0.2891 0.0000
Ga 0.5000 0.5000 0.2009
Ga 0.7109 0.7109 0.0000
Ga 0.0000 0.0000 0.2316
Ga 0.7441 0.7441 0.6261
Ga 0.7441 0.2559 0.3739
Ga 0.2559 0.2559 0.6261
Ga 0.2559 0.7441 0.3739
Ga 0.2891 0.7109 0.0000
Ga 0.7441 0.7441 0.3739
Ga 0.7441 0.2559 0.6261
Ga 0.2559 0.2559 0.3739
Ga 0.2559 0.7441 0.6261
Pd 0.0000 0.5000 0.5000
Pd 0.0000 0.0000 0.0000
Pd 0.5000 0.0000 0.5000

Computed properties:
Size of the total moment, μB per atom: 0.000
Electronic total energy, Ry per atom: -0.3022

- size of the total moment of number 2 (ZrSiPt)?
  0.000 μB per atom

- size of the total moment of number 2 (ZrSiPt)?
  0.000 μB per atom

- Which value of size of the total moment does entry 1 give?
  0.259 μB per atom

- The highest size of the total moment belongs to which entry?
  Cd2GaRu